[1]
{
  "formula": "K3Cl",
  "functional": "PBE",
  "state": "optimized geometry",
  "dft_energy_ev_per_atom": -1.896,
  "crystal_system": "tetragonal",
  "mass_density_g_cm3": 1.23,
  "relative_energy_mev_per_atom": 316,
  "lattice_angstrom": [[-2.6824, 2.6824, 7.1651], [2.6824, -2.6824, 7.1651], [2.6824, 2.6824, -7.1651]],
  "species": ["K", "K", "K", "Cl"],
  "fractional_positions": [[0.0000, 0.0000, 0.0000], [0.2500, 0.7500, 0.5000], [0.7500, 0.2500, 0.5000], [0.5000, 0.5000, 0.0000]]
}



[2]
{
  "formula": "KCl3",
  "functional": "PBE",
  "state": "optimized geometry",
  "dft_energy_ev_per_atom": -2.231,
  "crystal_system": "cubic",
  "mass_density_g_cm3": 2.26,
  "lattice_angstrom": [[4.7421, 0.0000, 0.0000], [0.0000, 4.7421, 0.0000], [0.0000, 0.0000, 4.7421]],
  "species": ["K", "Cl", "Cl", "Cl"],
  "fractional_positions": [[0.0000, 0.0000, 0.0000], [0.0000, 0.5000, 0.5000], [0.5000, 0.0000, 0.5000], [0.5000, 0.5000, 0.0000]]
}



[3]
{
  "formula": "K3Cl",
  "functional": "PBE",
  "state": "optimized geometry",
  "dft_energy_ev_per_atom": -2.152,
  "crystal_system": "orthorhombic",
  "mass_density_g_cm3": 1.20,
  "relative_energy_mev_per_atom": 59,
  "lattice_angstrom": [[8.2768, 0.0000, 0.0000], [0.0000, 13.3264, 0.0000], [0.0000, 0.0000, 7.6499]],
  "species": ["K", "K", "K", "K", "K", "K", "K", "K", "K", "K", "K", "K", "Cl", "Cl", "Cl", "Cl"],
  "fractional_positions": [[0.1301, 0.0886, 0.2309], [0.1301, 0.4114, 0.2309], [0.1528, 0.2500, 0.7344], [0.3472, 0.7500, 0.2344], [0.3699, 0.5886, 0.7309], [0.3699, 0.9114, 0.7309], [0.6301, 0.0886, 0.2691], [0.6301, 0.4114, 0.2691], [0.6528, 0.2500, 0.7656], [0.8472, 0.7500, 0.2656], [0.8699, 0.5886, 0.7691], [0.8699, 0.9114, 0.7691], [0.1081, 0.7500, 0.5889], [0.3919, 0.2500, 0.0889], [0.6081, 0.7500, 0.9111], [0.8919, 0.2500, 0.4111]]
}



[4]
{
  "formula": "KCl2",
  "functional": "PBE",
  "state": "optimized geometry",
  "dft_energy_ev_per_atom": -2.715,
  "crystal_system": "orthorhombic",
  "mass_density_g_cm3": 1.67,
  "lattice_angstrom": [[5.7592, 0.0000, 0.0000], [0.0000, 7.6826, 0.0000], [0.0000, 0.0000, 4.9538]],
  "species": ["K", "K", "Cl", "Cl", "Cl", "Cl"],
  "fractional_positions": [[0.0000, 0.0000, 0.0000], [0.5000, 0.5000, 0.5000], [0.1773, 0.3935, 0.0000], [0.3227, 0.8935, 0.5000], [0.6773, 0.1065, 0.5000], [0.8227, 0.6065, 0.0000]]
}



[5]
{
  "formula": "K3Cl",
  "functional": "PBE",
  "state": "optimized geometry",
  "dft_energy_ev_per_atom": -2.158,
  "crystal_system": "orthorhombic",
  "mass_density_g_cm3": 1.16,
  "relative_energy_mev_per_atom": 54,
  "lattice_angstrom": [[4.2031, 0.0000, 0.0000], [0.0000, 8.6866, 0.0000], [0.0000, 0.0000, 11.9813]],
  "species": ["K", "K", "K", "K", "K", "K", "Cl", "Cl"],
  "fractional_positions": [[0.2500, 0.0067, 0.1809], [0.2500, 0.2500, 0.4850], [0.2500, 0.4933, 0.1809], [0.7500, 0.5067, 0.8191], [0.7500, 0.7500, 0.5150], [0.7500, 0.9933, 0.8191], [0.2500, 0.7500, 0.7212], [0.7500, 0.2500, 0.2788]]
}



[6]
{
  "formula": "K3Cl",
  "functional": "PBE",
  "state": "optimized geometry",
  "dft_energy_ev_per_atom": -2.140,
  "crystal_system": "orthorhombic",
  "mass_density_g_cm3": 1.11,
  "relative_energy_mev_per_atom": 71,
  "lattice_angstrom": [[6.2695, -8.0752, 0.0000], [6.2695, 8.0752, 0.0000], [0.0000, 0.0000, 4.5079]],
  "species": ["K", "K", "K", "K", "K", "K", "Cl", "Cl"],
  "fractional_positions": [[0.1210, 0.8790, 0.7500], [0.2153, 0.4533, 0.7500], [0.4533, 0.2153, 0.2500], [0.5467, 0.7847, 0.7500], [0.7847, 0.5467, 0.2500], [0.8790, 0.1210, 0.2500], [0.3906, 0.6094, 0.2500], [0.6094, 0.3906, 0.7500]]
}



[7]
{
  "formula": "KLa2Cl",
  "functional": "PBE",
  "state": "optimized geometry",
  "dft_energy_ev_per_atom": -3.169,
  "crystal_system": "tetragonal",
  "mass_density_g_cm3": 4.10,
  "relative_energy_mev_per_atom": 719,
  "lattice_angstrom": [[-2.4359, 2.4359, 6.0159], [2.4359, -2.4359, 6.0159], [2.4359, 2.4359, -6.0159]],
  "species": ["K", "La", "La", "Cl"],
  "fractional_positions": [[0.0000, 0.0000, 0.0000], [0.2500, 0.7500, 0.5000], [0.5000, 0.5000, 0.0000], [0.7500, 0.2500, 0.5000]]
}



[8]
{
  "formula": "KLa2Cl",
  "functional": "PBE",
  "state": "optimized geometry",
  "dft_energy_ev_per_atom": -3.724,
  "crystal_system": "trigonal",
  "mass_density_g_cm3": 3.57,
  "relative_energy_mev_per_atom": 164,
  "lattice_angstrom": [[2.1410, 1.2361, 10.3195], [-2.1410, 1.2361, 10.3195], [0.0000, -2.4723, 10.3195]],
  "species": ["K", "La", "La", "Cl"],
  "fractional_positions": [[0.0000, 0.0000, 0.0000], [0.2142, 0.2142, 0.2142], [0.7858, 0.7858, 0.7858], [0.5000, 0.5000, 0.5000]]
}



[9]
{
  "formula": "K3LaCl6",
  "functional": "PBE",
  "state": "optimized geometry",
  "dft_energy_ev_per_atom": -4.088,
  "crystal_system": "monoclinic",
  "mass_density_g_cm3": 2.28,
  "lattice_angstrom": [[7.6666, 0.0000, 0.0000], [0.0000, 8.1079, 0.0000], [-7.3632, 0.0000, 10.9975]],
  "species": ["K", "K", "K", "K", "K", "K", "La", "La", "Cl", "Cl", "Cl", "Cl", "Cl", "Cl", "Cl", "Cl", "Cl", "Cl", "Cl", "Cl"],
  "fractional_positions": [[0.0000, 0.0000, 0.0000], [0.0000, 0.5000, 0.5000], [0.2113, 0.0719, 0.7403], [0.2113, 0.4281, 0.2403], [0.7887, 0.5719, 0.7597], [0.7887, 0.9281, 0.2597], [0.5000, 0.0000, 0.5000], [0.5000, 0.5000, 0.0000], [0.1471, 0.1842, 0.4380], [0.1471, 0.3158, 0.9380], [0.2421, 0.7186, 0.4168], [0.2421, 0.7814, 0.9168], [0.4062, 0.0663, 0.2670], [0.4062, 0.4337, 0.7670], [0.5938, 0.5663, 0.2330], [0.5938, 0.9337, 0.7330], [0.7579, 0.2186, 0.0832], [0.7579, 0.2814, 0.5832], [0.8529, 0.6842, 0.0620], [0.8529, 0.8158, 0.5620]]
}



[10]
{
  "formula": "KLa3Cl",
  "functional": "PBE",
  "state": "optimized geometry",
  "dft_energy_ev_per_atom": -3.852,
  "crystal_system": "cubic",
  "mass_density_g_cm3": 4.37,
  "relative_energy_mev_per_atom": 0,
  "lattice_angstrom": [[5.7147, 0.0000, 0.0000], [0.0000, 5.7147, 0.0000], [0.0000, 0.0000, 5.7147]],
  "species": ["K", "La", "La", "La", "Cl"],
  "fractional_positions": [[0.0000, 0.0000, 0.0000], [0.0000, 0.5000, 0.5000], [0.5000, 0.0000, 0.5000], [0.5000, 0.5000, 0.0000], [0.5000, 0.5000, 0.5000]]
}



[11]
{
  "formula": "K2LaCl4",
  "functional": "PBE",
  "state": "optimized geometry",
  "dft_energy_ev_per_atom": -3.953,
  "crystal_system": "tetragonal",
  "mass_density_g_cm3": 2.29,
  "lattice_angstrom": [[-2.8294, 2.8294, 8.1109], [2.8294, -2.8294, 8.1109], [2.8294, 2.8294, -8.1109]],
  "species": ["K", "K", "La", "Cl", "Cl", "Cl", "Cl"],
  "fractional_positions": [[0.1384, 0.1384, 0.0000], [0.8616, 0.8616, 0.0000], [0.5000, 0.5000, 0.0000], [0.0000, 0.5000, 0.5000], [0.3266, 0.3266, 0.0000], [0.5000, 0.0000, 0.5000], [0.6734, 0.6734, 0.0000]]
}



[12]
{
  "formula": "KLa2Cl",
  "functional": "PBE",
  "state": "optimized geometry",
  "dft_energy_ev_per_atom": -3.644,
  "crystal_system": "monoclinic",
  "mass_density_g_cm3": 3.96,
  "relative_energy_mev_per_atom": 244,
  "lattice_angstrom": [[3.9641, 0.0000, 0.0000], [0.0000, 4.7586, 0.0000], [-0.9980, 0.0000, 7.8303]],
  "species": ["K", "La", "La", "Cl"],
  "fractional_positions": [[0.0000, 0.0000, 0.0000], [0.3051, 0.0000, 0.5331], [0.6264, 0.5000, 0.3958], [0.5251, 0.5000, 0.7865]]
}